## In9Ni13 (meta-GGA SCAN)

Data for a crystal of In9Ni13 relaxed with PBEsol.

Values from the calculation:
energy relative to the elements	-1.612	eV/f.u.
DOS(E_F)	21.73	states/eV per cell

```
data_In9Ni13
_space_group_name_H-M_alt 'C 1 2/m 1'
_space_group_IT_number 12
_space_group_name_Hall '-C 2y'
_cell_length_a 10.3483
_cell_length_b 8.3051
_cell_length_c 8.9471
_cell_angle_alpha 90.00
_cell_angle_beta 125.29
_cell_angle_gamma 90.00
loop_
_atom_site_label
_atom_site_fract_x
_atom_site_fract_y
_atom_site_fract_z
In1 0.0000 0.0000 0.0000
In2 0.0394 0.2900 0.8084
In3 0.1751 0.5000 0.6167
In4 0.2113 0.0000 0.6663
Ni1 0.0000 0.2347 0.5000
Ni2 0.0000 0.5000 0.0000
Ni3 0.0455 0.0000 0.3232
Ni4 0.1958 0.2414 0.1584
Ni5 0.2396 0.0000 0.9799
Ni6 0.2500 0.2500 0.5000
```

---

## InNi2SbO6 (meta-GGA SCAN)

Data for a crystal of InNi2SbO6 relaxed with PBEsol.

Values from the calculation:
E_form (uncorrected)	-15.4	eV/f.u.

```
data_InNi2SbO6
_space_group_name_H-M_alt 'R 3'
_space_group_IT_number 146
_space_group_name_Hall 'R 3'
_cell_length_a 5.2212
_cell_length_b 5.2212
_cell_length_c 13.9213
_cell_angle_alpha 90.00
_cell_angle_beta 90.00
_cell_angle_gamma 120.00
loop_
_atom_site_label
_atom_site_fract_x
_atom_site_fract_y
_atom_site_fract_z
In1 0.0000 0.0000 0.0000
Ni1 0.0000 0.0000 0.2864
Ni2 0.0000 0.0000 0.7914
Sb1 0.0000 0.0000 0.4912
O1 0.0190 0.7177 0.3940
O2 0.0233 0.3533 0.5555
```

---

## Sr3InNiO6 (meta-GGA SCAN)

Data for a crystal of Sr3InNiO6 relaxed with PBEsol.

Values from the calculation:
E_form (uncorrected)	-26.3	eV/f.u.
distance to the lowest polymorph of the same formula	18	kJ/mol of formula units
DOS(E_F)	31.93	states/eV per cell

```
data_Sr3InNiO6
_space_group_name_H-M_alt 'R -3 c'
_space_group_IT_number 167
_space_group_name_Hall '-R 3 2"c'
_cell_length_a 9.5536
_cell_length_b 9.5536
_cell_length_c 11.1052
_cell_angle_alpha 90.00
_cell_angle_beta 90.00
_cell_angle_gamma 120.00
loop_
_atom_site_label
_atom_site_fract_x
_atom_site_fract_y
_atom_site_fract_z
Sr1 0.0000 0.3707 0.2500
In1 0.0000 0.0000 0.2500
Ni1 0.0000 0.0000 0.0000
O1 0.0226 0.1744 0.3896
```

---

## Sr3InNiO6 (meta-GGA SCAN)

Data for a crystal of Sr3InNiO6 relaxed with PBEsol.

Values from the calculation:
E_form (uncorrected)	-26.5	eV/f.u.
distance to the lowest polymorph of the same formula	0	kJ/mol of formula units

```
data_Sr3InNiO6
_space_group_name_H-M_alt 'P 1 21/c 1'
_space_group_IT_number 14
_space_group_name_Hall '-P 2ybc'
_cell_length_a 9.3296
_cell_length_b 9.5701
_cell_length_c 6.5777
_cell_angle_alpha 90.00
_cell_angle_beta 93.10
_cell_angle_gamma 90.00
loop_
_atom_site_label
_atom_site_fract_x
_atom_site_fract_y
_atom_site_fract_z
Sr1 0.0576 0.1861 0.1164
Sr2 0.2552 0.6285 0.7587
Sr3 0.4275 0.1859 0.3771
In1 0.2482 0.5021 0.2552
Ni1 0.0000 0.0000 0.5000
Ni2 0.5000 0.0000 0.0000
O1 0.0182 0.0625 0.7767
O2 0.1328 0.6709 0.0996
O3 0.1792 0.0962 0.4613
O4 0.3005 0.1013 0.0422
O5 0.3896 0.6600 0.4194
O6 0.4734 0.0632 0.7173
```

---

## InNiOs2 (meta-GGA SCAN)

Data for a crystal of InNiOs2 relaxed with PBEsol.

Values from the calculation:
energy relative to the elements	2.007	eV/f.u.
DOS(E_F)	3.67	states/eV per cell

```
data_InNiOs2
_space_group_name_H-M_alt 'P 1 2/m 1'
_space_group_IT_number 10
_space_group_name_Hall '-P 2y'
_cell_length_a 2.7647
_cell_length_b 4.2449
_cell_length_c 5.1458
_cell_angle_alpha 90.00
_cell_angle_beta 102.96
_cell_angle_gamma 90.00
loop_
_atom_site_label
_atom_site_fract_x
_atom_site_fract_y
_atom_site_fract_z
In1 0.0000 0.0000 0.0000
Ni1 0.0000 0.0000 0.5000
Os1 0.3610 0.5000 0.7207
```

---

## InNiOs2 (meta-GGA SCAN)

Data for a crystal of InNiOs2 relaxed with PBEsol.

Values from the calculation:
energy relative to the elements	2.128	eV/f.u.
DOS(E_F)	4.00	states/eV per cell

```
data_InNiOs2
_space_group_name_H-M_alt 'P m m m'
_space_group_IT_number 47
_space_group_name_Hall '-P 2 2'
_cell_length_a 2.8301
_cell_length_b 4.4886
_cell_length_c 4.6013
_cell_angle_alpha 90.00
_cell_angle_beta 90.00
_cell_angle_gamma 90.00
loop_
_atom_site_label
_atom_site_fract_x
_atom_site_fract_y
_atom_site_fract_z
In1 0.0000 0.0000 0.0000
Ni1 0.5000 0.5000 0.0000
Os1 0.0000 0.5000 0.5000
Os2 0.5000 0.0000 0.5000
```

---

| no. | DFT total energy (hartree per atom) |
| --- | --- |
| 1 | -0.85583 |
| 2 | -0.57250 |
| 3 | -0.60152 |
| 4 | -0.60214 |
| 5 | -1.75765 |
| 6 | -1.75654 |